Entry from the Alexandria database: an optimized crystal structure of GaMoN2F (PBE with a Hubbard U).

The structure in CIF format:
```
data_GaMoN2F
_chemical_formula_sum 'Ga1 Mo1 N2 F1'
_space_group_name_H-M_alt 'P 4/m m m'
_space_group_IT_number 123
_space_group_name_Hall '-P 4 2'
_cell_length_a 3.945
_cell_length_b 3.945
_cell_length_c 3.766
_cell_angle_alpha 90.00
_cell_angle_beta 90.00
_cell_angle_gamma 90.00
loop_
_atom_site_label
_atom_site_type_symbol
_atom_site_fract_x
_atom_site_fract_y
_atom_site_fract_z
Ga1 Ga 0.000 0.000 0.000
Mo1 Mo 0.500 0.500 0.500
N1 N 0.000 0.500 0.000
F1 F 0.000 0.000 0.500
```

The value obtained for the final energy is -27.143 eV/cell.